A plane-wave DFT calculation with PBE-GGA was carried out for a relaxed structure of Ta2SiSe.

Total magnetic moment = 0.00 Bohr magnetons per cell
Space-group type = F-43m, No. 216
Mass density = 11.4 g cm⁻³
Energy = -31.4 eV/cell

abc: 4.5859 4.5859 4.5859
angles: 60.00 60.00 60.00
Last column: nearest neighbours and their distance in Å.
Sites, in units of the cell vectors:
Ta: 0.0000 0.0000 0.0000  4 Se 2.81, 4 Ta 2.81
Ta: 0.2500 0.2500 0.2500  4 Ta 2.81, 4 Si 2.81
Si: 0.5000 0.5000 0.5000  4 Se 2.81, 4 Ta 2.81
Se: 0.7500 0.7500 0.7500  4 Ta 2.81, 4 Si 2.81